Record 1
First-principles (meta-GGA SCAN) data for a PBEsol-optimized structure of Li2TaSb, as listed in the Alexandria database.

abc: 2.889 5.394 5.405
angles: 113.45 90.00 105.54
Atoms (fractional coordinates):
Sb 0.496 0.993 0.606
Li 0.002 0.005 0.085
Li 0.760 0.521 0.162
Ta 0.241 0.482 0.647

Results
- symmetry = Cm, No. 8
- formation energy from raw total energies (eV per atom) = 0.1480
- crystal system = monoclinic

Record 2
First-principles (meta-GGA SCAN) data for a PBEsol-optimized structure of Mg2SbTe, as listed in the Alexandria database.

abc: 3.201 3.201 9.966
angles: 90.00 90.00 97.72
Atoms (fractional coordinates):
Sb 0.000 0.000 0.539
Mg 0.000 0.000 0.994
Mg 0.500 0.500 0.757
Te 0.500 0.500 0.210

Results
- symmetry = Cmm2, No. 35
- formation energy from raw total energies (eV per atom) = -0.0754
- crystal system = orthorhombic

Record 3
First-principles (meta-GGA SCAN) data for a PBEsol-optimized structure of FeNiOs2, as listed in the Alexandria database.

abc: 4.164 4.164 4.164
angles: 60.00 60.00 60.00
Site moments in Bohr magnetons follow the coordinates.
Atoms (fractional coordinates):
Os 0.750 0.750 0.750  0.40
Os 0.000 0.000 0.000  0.04
Fe 0.500 0.500 0.500  3.04
Ni 0.250 0.250 0.250  0.67

Results
- symmetry = F-43m, No. 216
- energy of formation from the pure elements (meV per atom) = 300
- crystal system = cubic

Record 4
First-principles (meta-GGA SCAN) data for a PBEsol-optimized structure of MnPbCl, as listed in the Alexandria database.

abc: 3.168 3.168 7.052
angles: 102.98 102.98 90.00
Site moments in Bohr magnetons follow the coordinates.
Atoms (fractional coordinates):
Cl 0.048 0.048 0.095  0.08
Pb 0.308 0.308 0.615  -0.13
Mn 0.645 0.645 0.289  4.18

Results
- symmetry = I4mm, No. 107
- formation energy from raw total energies (eV per atom) = -0.4755
- crystal system = tetragonal

Record 5
First-principles (meta-GGA SCAN) data for a PBEsol-optimized structure of BaAsAu2, as listed in the Alexandria database.

abc: 3.711 3.711 6.870
angles: 90.00 90.00 90.00
Atoms (fractional coordinates):
As 0.500 0.500 0.500
Au 0.000 0.000 0.698
Au 0.000 0.000 0.302
Ba 0.500 0.500 0.000

Results
- symmetry = P4/mmm, No. 123
- energy of formation from the pure elements (meV per atom) = -253
- crystal system = tetragonal

Record 6
First-principles (meta-GGA SCAN) data for a PBEsol-optimized structure of HfPbO3, as listed in the Alexandria database.

abc: 5.815 8.133 11.656
angles: 90.00 90.00 90.00
Atoms (fractional coordinates):
O 0.974 0.780 0.740
O 0.500 0.729 0.500
O 0.526 0.220 0.240
O 0.526 0.780 0.240
O 0.293 0.000 0.096
O 0.500 0.293 0.000
O 0.026 0.220 0.260
O 0.500 0.707 0.000
O 0.207 0.000 0.596
O 0.793 0.000 0.404
O 0.000 0.293 0.500
O 0.707 0.000 0.904
O 0.770 0.500 0.345
O 0.974 0.220 0.740
O 0.026 0.780 0.260
O 0.730 0.500 0.845
O 0.474 0.220 0.760
O 0.230 0.500 0.655
O 0.500 0.271 0.500
O 0.000 0.271 0.000
O 0.474 0.780 0.760
O 0.270 0.500 0.155
O 0.000 0.707 0.500
O 0.000 0.729 0.000
Pb 0.791 0.500 0.624
Pb 0.786 0.000 0.629
Pb 0.291 0.500 0.876
Pb 0.714 0.000 0.129
Pb 0.209 0.500 0.376
Pb 0.214 0.000 0.371
Pb 0.709 0.500 0.124
Pb 0.286 0.000 0.871
Hf 0.244 0.750 0.124
Hf 0.744 0.750 0.376
Hf 0.256 0.250 0.624
Hf 0.744 0.250 0.376
Hf 0.256 0.750 0.624
Hf 0.244 0.250 0.124
Hf 0.756 0.250 0.876
Hf 0.756 0.750 0.876

Results
- symmetry = Pbam, No. 55
- formation energy from raw total energies (eV per atom) = -2.7715
- crystal system = orthorhombic

Record 7
First-principles (meta-GGA SCAN) data for a PBEsol-optimized structure of Rb6Te2O9, as listed in the Alexandria database.

abc: 8.735 8.735 10.974
angles: 112.07 112.07 93.00
Atoms (fractional coordinates):
Te 0.147 0.853 0.250
Te 0.374 0.626 0.750
Te 0.626 0.374 0.250
Te 0.853 0.147 0.750
O 0.987 0.114 0.910
O 0.371 0.907 0.286
O 0.776 0.224 0.250
O 0.093 0.629 0.214
O 0.668 0.585 0.243
O 0.520 0.261 0.039
O 0.114 0.987 0.410
O 0.585 0.668 0.743
O 0.261 0.520 0.539
O 0.629 0.093 0.714
O 0.739 0.480 0.461
O 0.013 0.886 0.090
O 0.907 0.371 0.786
O 0.886 0.013 0.590
O 0.224 0.776 0.750
O 0.415 0.332 0.257
O 0.332 0.415 0.757
O 0.480 0.739 0.961
Rb 0.498 0.696 0.475
Rb 0.322 0.097 0.737
Rb 0.295 0.001 0.029
Rb 0.903 0.678 0.763
Rb 0.502 0.304 0.525
Rb 0.999 0.705 0.471
Rb 0.001 0.295 0.529
Rb 0.304 0.502 0.025
Rb 0.678 0.903 0.263
Rb 0.705 0.999 0.971
Rb 0.097 0.322 0.237
Rb 0.696 0.498 0.975

Results
- symmetry = C2/c, No. 15
- formation energy from raw total energies (eV per atom) = -1.5818
- crystal system = monoclinic

Record 8
First-principles (meta-GGA SCAN) data for a PBEsol-optimized structure of HfOsIO2, as listed in the Alexandria database.

abc: 3.808 3.808 6.552
angles: 90.00 90.00 90.00
Atoms (fractional coordinates):
O 0.500 0.000 0.000
O 0.000 0.500 0.000
Hf 0.500 0.500 0.500
I 0.000 0.000 0.500
Os 0.000 0.000 0.000

Results
- symmetry = P4/mmm, No. 123
- formation energy from raw total energies (eV per atom) = 0.2544
- crystal system = tetragonal

Record 9
First-principles (meta-GGA SCAN) data for a PBEsol-optimized structure of MgZrSc2, as listed in the Alexandria database.

abc: 4.452 4.487 4.487
angles: 90.00 90.00 90.00
Atoms (fractional coordinates):
Sc 0.000 0.000 0.500
Sc 0.000 0.500 0.000
Mg 0.500 0.000 0.000
Zr 0.500 0.500 0.500

Results
- symmetry = P4/mmm, No. 123
- energy of formation from the pure elements (meV per atom) = 77
- crystal system = tetragonal

Record 10
First-principles (meta-GGA SCAN) data for a PBEsol-optimized structure of TiSbAs2Ir, as listed in the Alexandria database.

abc: 4.613 4.613 5.550
angles: 90.00 90.00 90.00
Site moments in Bohr magnetons follow the coordinates.
Atoms (fractional coordinates):
Ir 0.000 0.000 0.000  0.08
Sb 0.000 0.000 0.500  -0.12
As 0.000 0.500 0.000  -0.03
As 0.500 0.000 0.000  -0.03
Ti 0.500 0.500 0.500  1.65

Results
- symmetry = P4/mmm, No. 123
- formation energy from raw total energies (eV per atom) = 0.5656
- crystal system = tetragonal

Record 11
First-principles (meta-GGA SCAN) data for a PBEsol-optimized structure of YTa2In, as listed in the Alexandria database.

abc: 3.034 5.183 5.353
angles: 90.00 94.72 90.00
Atoms (fractional coordinates):
Ta 0.147 0.000 0.246
Ta 0.853 0.000 0.754
Y 0.500 0.500 0.000
In 0.000 0.500 0.500

Results
- symmetry = P2/m, No. 10
- energy of formation from the pure elements (meV per atom) = 255
- crystal system = monoclinic

Record 12
First-principles (meta-GGA SCAN) data for a PBEsol-optimized structure of Na2GeF6, as listed in the Alexandria database.

abc: 5.112 9.082 9.082
angles: 120.00 90.00 90.00
Atoms (fractional coordinates):
Na 0.500 0.711 0.000
Na 0.000 0.000 0.373
Na 0.500 0.289 0.289
Na 0.000 0.373 0.000
Na 0.000 0.627 0.627
Na 0.500 0.000 0.711
F 0.798 0.914 0.104
F 0.699 0.224 0.478
F 0.202 0.104 0.914
F 0.202 0.086 0.190
F 0.708 0.552 0.407
F 0.798 0.190 0.086
F 0.301 0.478 0.224
F 0.292 0.448 0.855
F 0.301 0.776 0.254
F 0.699 0.254 0.776
F 0.708 0.855 0.448
F 0.202 0.810 0.896
F 0.699 0.522 0.746
F 0.292 0.145 0.593
F 0.798 0.896 0.810
F 0.708 0.593 0.145
F 0.292 0.407 0.552
F 0.301 0.746 0.522
Ge 0.000 0.000 0.000
Ge 0.505 0.667 0.333
Ge 0.495 0.333 0.667

Results
- symmetry = P321, No. 150
- formation energy from raw total energies (eV per atom) = -2.8555
- crystal system = trigonal

Record 13
First-principles (meta-GGA SCAN) data for a PBEsol-optimized structure of Ag2PRu, as listed in the Alexandria database.

abc: 2.935 4.178 5.554
angles: 111.72 104.80 91.32
Atoms (fractional coordinates):
P 0.500 0.000 0.000
Ag 0.000 0.000 0.500
Ag 0.500 0.500 0.500
Ru 0.000 0.500 0.000

Results
- symmetry = C2/m, No. 12
- energy of formation from the pure elements (meV per atom) = 416
- crystal system = monoclinic

Record 14
First-principles (meta-GGA SCAN) data for a PBEsol-optimized structure of CaNiBN, as listed in the Alexandria database.

abc: 3.486 3.486 7.529
angles: 90.00 90.00 90.00
Atoms (fractional coordinates):
Ca 0.000 0.500 0.842
Ca 0.500 0.000 0.158
N 0.500 0.000 0.837
N 0.000 0.500 0.163
Ni 0.000 0.000 0.500
Ni 0.500 0.500 0.500
B 0.000 0.500 0.349
B 0.500 0.000 0.651

Results
- symmetry = P4/nmm, No. 129
- formation energy from raw total energies (eV per atom) = -1.0106
- crystal system = tetragonal

Record 15
First-principles (meta-GGA SCAN) data for a PBEsol-optimized structure of Sc3AuF, as listed in the Alexandria database.

abc: 5.140 5.140 5.140
angles: 90.00 90.00 90.00
Atoms (fractional coordinates):
Sc 0.000 0.500 0.000
Sc 0.000 0.000 0.500
Sc 0.500 0.000 0.000
Au 0.000 0.000 0.000
F 0.500 0.500 0.500

Results
- symmetry = Pm-3m, No. 221
- formation energy from raw total energies (eV per atom) = -0.3891
- crystal system = cubic

Record 16
First-principles (meta-GGA SCAN) data for a PBEsol-optimized structure of YBeIn2, as listed in the Alexandria database.

abc: 4.353 4.353 5.451
angles: 113.53 113.53 90.00
Atoms (fractional coordinates):
In 0.750 0.250 0.500
In 0.000 0.000 0.000
Be 0.250 0.750 0.500
Y 0.500 0.500 0.000

Results
- symmetry = I-4m2, No. 119
- energy of formation from the pure elements (meV per atom) = -70
- crystal system = tetragonal

Record 17
First-principles (meta-GGA SCAN) data for a PBEsol-optimized structure of Li13Fe2O12, as listed in the Alexandria database.

abc: 5.485 5.472 7.826
angles: 90.30 90.30 89.91
Site moments in Bohr magnetons follow the coordinates.
Atoms (fractional coordinates):
Li 0.712 0.109 0.637  0.00
Li 0.058 0.221 0.296  0.00
Li 0.013 0.784 0.727  0.00
Li 0.786 0.390 0.886  0.00
Li 0.291 0.876 0.385  0.00
Li 0.559 0.818 0.078  0.00
Li 0.698 0.006 0.345  0.00
Li 0.096 0.612 0.076  0.00
Li 0.359 0.180 0.890  0.00
Li 0.932 0.643 0.411  0.00
Li 0.470 0.336 0.189  0.00
Li 0.142 0.308 0.607  0.00
Li 0.485 0.710 0.772  0.00
O 0.005 0.881 0.232  0.13
O 0.368 0.217 0.413  0.12
O 0.986 0.134 0.788  0.14
O 0.156 0.282 0.075  0.14
O 0.699 0.769 0.573  0.19
O 0.820 0.728 0.933  0.15
O 0.817 0.322 0.453  0.10
O 0.523 0.650 0.290  0.24
O 0.269 0.845 0.943  0.16
O 0.232 0.643 0.556  0.12
O 0.690 0.150 0.060  0.17
O 0.516 0.366 0.718  0.13
Fe 0.979 0.011 0.007  2.38
Fe 0.527 0.493 0.499  2.41

Results
- symmetry = P1, No. 1
- formation energy from raw total energies (eV per atom) = -1.8534
- crystal system = triclinic

Record 18
First-principles (meta-GGA SCAN) data for a PBEsol-optimized structure of MnCdBr, as listed in the Alexandria database.

abc: 4.615 4.615 4.615
angles: 60.00 60.00 60.00
Site moments in Bohr magnetons follow the coordinates.
Atoms (fractional coordinates):
Cd 0.500 0.500 0.500  0.01
Mn 0.750 0.750 0.750  4.20
Br 0.000 0.000 0.000  0.06

Results
- symmetry = F-43m, No. 216
- formation energy from raw total energies (eV per atom) = 0.2130
- crystal system = cubic

Record 19
First-principles (meta-GGA SCAN) data for a PBEsol-optimized structure of AgH3I, as listed in the Alexandria database.

abc: 4.070 4.070 4.070
angles: 90.00 90.00 90.00
Atoms (fractional coordinates):
Ag 0.500 0.500 0.500
H 0.500 0.000 0.000
H 0.000 0.000 0.500
H 0.000 0.500 0.000
I 0.000 0.000 0.000

Results
- raw total energy (eV per formula unit) = -72.698
- symmetry = Pm-3m, No. 221
- crystal system = cubic

Record 20
First-principles (meta-GGA SCAN) data for a PBEsol-optimized structure of TaFe3Ru, as listed in the Alexandria database.

abc: 4.273 4.273 4.273
angles: 90.00 90.00 90.00
Site moments in Bohr magnetons follow the coordinates.
Atoms (fractional coordinates):
Fe 0.500 0.000 0.000  2.57
Fe 0.000 0.500 0.000  2.57
Fe 0.000 0.000 0.500  2.57
Ta 0.500 0.500 0.500  -0.80
Ru 0.000 0.000 0.000  0.03

Results
- symmetry = Pm-3m, No. 221
- energy of formation from the pure elements (meV per atom) = 1484
- crystal system = cubic

Record 21
First-principles (meta-GGA SCAN) data for a PBEsol-optimized structure of Sb2OsRu, as listed in the Alexandria database.

abc: 3.152 4.649 4.649
angles: 94.82 90.00 90.00
Atoms (fractional coordinates):
Ru 0.500 0.500 0.500
Os 0.500 0.000 0.000
Sb 0.000 0.000 0.500
Sb 0.000 0.500 0.000

Results
- symmetry = Cmmm, No. 65
- formation energy from raw total energies (eV per atom) = 0.4556
- crystal system = orthorhombic

Record 22
First-principles (meta-GGA SCAN) data for a PBEsol-optimized structure of NiB, as listed in the Alexandria database.

abc: 2.892 2.966 3.928
angles: 90.00 111.60 90.00
Atoms (fractional coordinates):
Ni 0.853 0.250 0.706
Ni 0.147 0.750 0.294
B 0.432 0.750 0.863
B 0.568 0.250 0.137

Results
- symmetry = Cmcm, No. 63
- energy of formation from the pure elements (meV per atom) = -261
- crystal system = orthorhombic

Record 23
First-principles (meta-GGA SCAN) data for a PBEsol-optimized structure of LiNbTeI2, as listed in the Alexandria database.

abc: 5.072 5.072 5.162
angles: 90.00 90.00 90.00
Site moments in Bohr magnetons follow the coordinates.
Atoms (fractional coordinates):
I 0.500 0.000 0.000  -0.20
I 0.000 0.500 0.000  -0.20
Nb 0.500 0.500 0.500  2.47
Te 0.000 0.000 0.500  -0.45
Li 0.000 0.000 0.000  0.00

Results
- symmetry = P4/mmm, No. 123
- formation energy from raw total energies (eV per atom) = 0.4254
- crystal system = tetragonal